Entry 1:
Material: Sc2ZnPb2
Method: DFT, PBE
State: optimized geometry

The structure belongs to space group P4/mbm (No. 127); the cell edges are 7.4035, 7.4035 and 4.4617 Å and the angles 90.00°, 90.00° and 90.00°. Symmetry generates all atoms from Sc at (0.1588, 0.3412, 0.0000), Zn at (0.0000, 0.0000, 0.0000) and Pb at (0.1526, 0.6526, 0.5000).

The value obtained for the final energy is -4.474 eV per atom. Its energy relative to the elements is -1.0 eV per formula unit.



Entry 2:
Material: Li2GeIrN
Method: DFT, PBE
State: optimized geometry

The structure belongs to space group P4/mmm (No. 123); the cell edges are 4.1498, 4.1498 and 3.7829 Å and the angles 90.00°, 90.00° and 90.00°. Symmetry generates all atoms from Li at (0.0000, 0.5000, 0.0000), Ge at (0.0000, 0.0000, 0.5000), Ir at (0.5000, 0.5000, 0.5000) and N at (0.5000, 0.5000, 0.0000).

The value obtained for the final energy is -5.384 eV per atom. The calculation puts the uncorrected formation energy at -0.2576 eV/atom.



Entry 3:
Material: Sm3ErGa2
Method: DFT, PBE
State: optimized geometry

The structure belongs to space group C2/m (No. 12); the cell edges are 17.3126, 4.5275 and 9.2324 Å and the angles 90.00°, 113.93° and 90.00°. Symmetry generates all atoms from Sm at (0.0431, 0.0000, 0.1894), Sm at (0.1511, 0.5000, 0.9783), Sm at (0.1797, 0.5000, 0.4283), Er at (0.1175, 0.0000, 0.6400), Ga at (0.0055, 0.5000, 0.6426) and Ga at (0.2333, 0.0000, 0.2157).

The value obtained for the final energy is -4.462 eV per atom. Its energy relative to the elements is -2.0 eV per formula unit.